(1)
Computed, not measured: a geometry-optimized Ac2Tm structure at the GGA-PBE level of DFT.

Cell: 4.358 4.358 7.054 Å, 107.94 107.94 89.95°
Positions (direct):
Ac (0.154, 0.154, 0.308)
Ac (0.846, 0.846, 0.692)
Tm (0.500, 0.500, 0.000)

density: 8.578 g/cm3
formation enthalpy at 0 K: 0.128 eV per atom
crystal system: monoclinic
space group: C2/m

(2)
Computed, not measured: a geometry-optimized CuBr2Cl structure at the GGA-PBE level of DFT.

Cell: 6.932 6.932 6.932 Å, 154.35 112.20 73.78°
Positions (direct):
Cu (0.000, 0.000, 0.000)
Br (0.499, 0.499, 0.000)
Br (0.838, 0.338, 0.500)
Cl (0.145, 0.645, 0.500)

density: 3.257 g/cm3
crystal system: orthorhombic
uncorrected energy: -2.48 eV/atom
space group: Imm2

(3)
Computed, not measured: a geometry-optimized Sc2AlC2 structure at the GGA-PBE level of DFT.

Cell: 6.695 6.695 6.695 Å, 151.26 151.26 41.10°
Positions (direct):
Sc (0.162, 0.162, 0.000)
Sc (0.838, 0.838, 0.000)
Al (0.500, 0.500, 0.000)
C (0.344, 0.344, 0.000)
C (0.656, 0.656, 0.000)

density: 3.380 g/cm3
formation enthalpy at 0 K: -0.403 eV per atom
crystal system: tetragonal
space group: I4/mmm

(4)
Computed, not measured: a geometry-optimized CaPrAuO4 structure at the GGA-PBE level of DFT.

Cell: 6.245 6.245 6.893 Å, 90.00 90.00 123.83°
Positions (direct):
Ca (0.000, 0.000, 0.000)
Ca (0.000, 0.000, 0.500)
Pr (0.325, 0.675, 0.750)
Pr (0.675, 0.325, 0.250)
Au (0.353, 0.647, 0.250)
Au (0.647, 0.353, 0.750)
O (0.212, 0.788, 0.039)
O (0.212, 0.788, 0.461)
O (0.265, 0.272, 0.750)
O (0.272, 0.265, 0.250)
O (0.728, 0.735, 0.750)
O (0.735, 0.728, 0.250)
O (0.788, 0.212, 0.539)
O (0.788, 0.212, 0.961)

density: 6.572 g/cm3
crystal system: orthorhombic
uncorrected energy: -6.02 eV/atom
space group: Cmcm

(5)
Computed, not measured: a geometry-optimized Pr4AlPt structure at the GGA-PBE level of DFT.

Cell: 9.997 9.997 9.997 Å, 60.00 60.00 60.00°
Positions (direct):
Pr (0.185, 0.185, 0.815)
Pr (0.185, 0.815, 0.185)
Pr (0.185, 0.815, 0.815)
Pr (0.398, 0.398, 0.398)
Pr (0.398, 0.398, 0.807)
Pr (0.398, 0.807, 0.398)
Pr (0.550, 0.550, 0.950)
Pr (0.550, 0.950, 0.550)
Pr (0.550, 0.950, 0.950)
Pr (0.807, 0.398, 0.398)
Pr (0.815, 0.185, 0.185)
Pr (0.815, 0.185, 0.815)
Pr (0.815, 0.815, 0.185)
Pr (0.950, 0.550, 0.550)
Pr (0.950, 0.550, 0.950)
Pr (0.950, 0.950, 0.550)
Al (0.177, 0.177, 0.177)
Al (0.177, 0.177, 0.470)
Al (0.177, 0.470, 0.177)
Al (0.470, 0.177, 0.177)
Pt (0.177, 0.608, 0.608)
Pt (0.608, 0.177, 0.608)
Pt (0.608, 0.608, 0.177)
Pt (0.608, 0.608, 0.608)

density: 7.388 g/cm3
formation enthalpy at 0 K: -0.519 eV per atom
crystal system: cubic
space group: F-43m

(6)
Computed, not measured: a geometry-optimized Sr3Al2In9 structure at the GGA-PBE level of DFT.

Cell: 9.345 9.345 9.345 Å, 149.89 104.05 83.81°
Positions (direct):
Sr (0.000, 0.000, 0.000)
Sr (0.313, 0.313, 0.000)
Sr (0.687, 0.687, 0.000)
Al (0.298, 0.500, 0.798)
Al (0.702, 0.500, 0.202)
In (0.028, 0.655, 0.373)
In (0.139, 0.861, 0.278)
In (0.283, 0.655, 0.627)
In (0.418, 0.139, 0.278)
In (0.500, 0.000, 0.500)
In (0.582, 0.861, 0.722)
In (0.717, 0.345, 0.373)
In (0.861, 0.139, 0.722)
In (0.972, 0.345, 0.627)

density: 5.773 g/cm3
formation enthalpy at 0 K: -0.257 eV per atom
crystal system: orthorhombic
space group: Immm

(7)
Computed, not measured: a geometry-optimized TbNi3B structure at the GGA-PBE level of DFT.

Cell: 6.428 3.870 5.341 Å, 90.00 90.00 90.00°
Positions (direct):
Tb (0.250, 0.000, 0.043)
Tb (0.750, 0.000, 0.957)
Ni (0.031, 0.500, 0.726)
Ni (0.250, 0.000, 0.542)
Ni (0.469, 0.500, 0.726)
Ni (0.531, 0.500, 0.274)
Ni (0.750, 0.000, 0.458)
Ni (0.969, 0.500, 0.274)
B (0.250, 0.500, 0.439)
B (0.750, 0.500, 0.561)

density: 8.644 g/cm3
formation enthalpy at 0 K: -0.324 eV per atom
crystal system: orthorhombic
space group: Pmma

(8)
Computed, not measured: a geometry-optimized Cd3Pt structure at the GGA-PBE level of DFT.

Cell: 3.065 4.126 6.129 Å, 90.00 90.00 90.00°
Positions (direct):
Cd (0.000, 0.000, 0.000)
Cd (0.500, 0.500, 0.267)
Cd (0.500, 0.500, 0.733)
Pt (0.000, 0.000, 0.500)

density: 11.404 g/cm3
formation enthalpy at 0 K: -0.149 eV per atom
crystal system: orthorhombic
space group: Pmmm

(9)
Computed, not measured: a geometry-optimized SrRuW2 structure at the GGA-PBE level of DFT.

Cell: 10.453 10.453 10.453 Å, 15.79 15.79 15.79°
Positions (direct):
Sr (0.000, 0.000, 0.000)
Ru (0.500, 0.500, 0.500)
W (0.237, 0.237, 0.237)
W (0.763, 0.763, 0.763)

density: 12.541 g/cm3
formation enthalpy at 0 K: 0.927 eV per atom
crystal system: trigonal
space group: R-3m

(10)
Computed, not measured: a geometry-optimized Nd5TlSn2Pb structure at the GGA-PBE level of DFT.

Cell: 10.133 10.133 10.133 Å, 131.52 131.52 70.98°
Positions (direct):
Nd (0.000, 0.000, 0.000)
Nd (0.063, 0.563, 0.895)
Nd (0.168, 0.063, 0.500)
Nd (0.332, 0.832, 0.895)
Nd (0.437, 0.332, 0.500)
Nd (0.500, 0.500, 0.000)
Nd (0.563, 0.668, 0.500)
Nd (0.668, 0.168, 0.105)
Nd (0.832, 0.937, 0.500)
Nd (0.937, 0.437, 0.105)
Tl (0.250, 0.750, 0.500)
Tl (0.750, 0.250, 0.500)
Sn (0.120, 0.380, 0.500)
Sn (0.380, 0.880, 0.260)
Sn (0.620, 0.120, 0.740)
Sn (0.880, 0.620, 0.500)
Pb (0.250, 0.250, 0.000)
Pb (0.750, 0.750, 0.000)

density: 7.969 g/cm3
formation enthalpy at 0 K: -0.489 eV per atom
crystal system: tetragonal
space group: I4/mcm

DOS at the Fermi energy? In order: 6.8 2.0 3.7 5.4 26.9 5.2 3.7 1.2 5.0 21.2 states/eV/cell.